The following is a DFT calculation (SCAN) of a PBEsol-optimized structure of Sr2As2Br.

Unit cell a=4.152 b=4.152 c=8.834 alpha=103.59 beta=103.59 gamma=90.00
Sites, in units of the cell vectors:
Sr (0.382, 0.382, 0.763)
Sr (0.618, 0.618, 0.237)
As (0.250, 0.750, 0.500)
As (0.750, 0.250, 0.500)
Br (0.000, 0.000, 0.000)

Values from the calculation:
Symmetry ... No. 139
Total magnetic moment ... 0.0 μB/f.u.
Calculated density ... 4.68 g cm⁻³
DFT total energy ... -110.2 eV for the cell shown
Crystal system ... tetragonal